(1)
# YMgCl2 | Alexandria | PBEsol | optimized geometry
# Formation energy from raw total energies in eV per atom: -0.87
# Theoretical density in kg/m3: 3584
# E above lowest polymorph in eV per atom: 0.108
# D(E_F) in states/eV per cell: 2.4
# Magnetization in μB/cell: 0.00
data_YMgCl2
_space_group_name_H-M_alt 'P 4/m m m'
_space_group_IT_number 123
_space_group_name_Hall '-P 4 2'
_cell_length_a 4.5389
_cell_length_b 4.5389
_cell_length_c 4.1402
_cell_angle_alpha 90.00
_cell_angle_beta 90.00
_cell_angle_gamma 90.00
loop_
_atom_site_label
_atom_site_type_symbol
_atom_site_fract_x
_atom_site_fract_y
_atom_site_fract_z
_atom_site_occupancy
Y1 Y 0.0000 0.0000 0.0000 1
Mg1 Mg 0.5000 0.5000 0.0000 1
Cl1 Cl 0.0000 0.5000 0.5000 1

(2)
# Cr2ReNi | Alexandria | PBEsol | optimized geometry
# Energy of formation from the pure elements in kcal/mol of atoms: 6.43
# Theoretical density in kg/m3: 11883
# D(E_F) in states/eV per cell: 21.2
# Magnetization in μB/cell: 0.01
data_Cr2ReNi
_space_group_name_H-M_alt 'R 3 m'
_space_group_IT_number 160
_space_group_name_Hall 'R 3 -2"'
_cell_length_a 2.5997
_cell_length_b 2.5997
_cell_length_c 24.9891
_cell_angle_alpha 90.00
_cell_angle_beta 90.00
_cell_angle_gamma 120.00
loop_
_atom_site_label
_atom_site_type_symbol
_atom_site_fract_x
_atom_site_fract_y
_atom_site_fract_z
_atom_site_occupancy
Cr1 Cr 0.0000 0.0000 0.0000 1
Cr2 Cr 0.0000 0.0000 0.2525 1
Re1 Re 0.0000 0.0000 0.4997 1
Ni1 Ni 0.0000 0.0000 0.7460 1

(3)
# Mg2ZnIn | Alexandria | PBEsol | optimized geometry
# Energy of formation from the pure elements in kcal/mol of atoms: -1.57
# Theoretical density in kg/m3: 4656
# D(E_F) in states/eV per cell: 2.6
# Magnetization in μB/cell: 0.00
data_Mg2ZnIn
_space_group_name_H-M_alt 'A m m 2'
_space_group_IT_number 38
_cell_length_a 4.4629
_cell_length_b 3.3134
_cell_length_c 11.0375
_cell_angle_alpha 90.00
_cell_angle_beta 90.00
_cell_angle_gamma 90.00
loop_
_space_group_symop_operation_xyz
'x,y,z'
'-x,-y,z'
'-x,y,z'
'x,-y,z'
'x,y+1/2,z+1/2'
'-x,-y+1/2,z+1/2'
'-x,y+1/2,z+1/2'
'x,-y+1/2,z+1/2'
loop_
_atom_site_label
_atom_site_type_symbol
_atom_site_fract_x
_atom_site_fract_y
_atom_site_fract_z
_atom_site_occupancy
Mg1 Mg 0.0000 0.0000 0.0000 1
Mg2 Mg 0.5000 0.0000 0.3344 1
Zn1 Zn 0.0000 0.0000 0.7495 1
In1 In 0.5000 0.0000 0.6020 1